Here is Sc8Tl2In after structural relaxation from Alexandria via LeMat-Bulk. Energies are from PBE-GGA.

Summary:
final energy	-119.83	eV for the cell shown
formation energy from the elements	-0.163	eV per atom

Cell lengths 4.786, 7.666, 14.357 Å; angles 90.00, 90.00, 90.00 degrees
Space group Immm (No. 71)
Inequivalent atoms, fractional coordinates:
Sc: 0.000 0.000 0.152 [4 per cell]
Sc: 0.000 0.218 0.349 [8 per cell]
Sc: 0.000 0.294 0.000 [4 per cell]
Tl: 0.000 0.500 0.194 [4 per cell]
In: 0.000 0.500 0.500 [2 per cell]